1.
Compound: KCo3N
Source: Alexandria via LeMat-Bulk
Functional: PBE
Structure: optimized geometry

symmetry	No. 221
E_form (uncorrected)	3.406	eV per atom
electronic total energy	-2.742	eV/atom
relative energy among the computed polymorphs	258.6	kJ/mol of atoms

Geometry as extended XYZ:
```
5
Lattice="4.397 0.000 0.000 0.000 4.397 0.000 0.000 0.000 4.397" Properties=species:S:1:pos:R:3 pbc="T T T"
K 0.000 0.000 0.000
Co 0.000 0.000 2.198
Co 0.000 2.198 0.000
Co 2.198 0.000 0.000
N 2.198 2.198 2.198
```

2.
Compound: LaAlCl2
Source: Alexandria via LeMat-Bulk
Functional: PBE
Structure: optimized geometry

symmetry	No. 166
E_form (uncorrected)	-1.108	eV per atom
electronic total energy	-4.198	eV/atom
relative energy among the computed polymorphs	5.6	kJ/mol of atoms

Geometry as extended XYZ:
```
4
Lattice="1.807 1.043 9.823 -1.807 1.043 9.823 0.000 -2.086 9.823" Properties=species:S:1:pos:R:3 pbc="T T T"
La 0.000 0.000 0.000
Al 0.000 0.000 14.735
Cl 0.000 0.000 11.870
Cl 0.000 0.000 17.600
```

3.
Compound: CrHS2
Source: Alexandria via LeMat-Bulk
Functional: PBE
Structure: optimized geometry

symmetry	No. 122
electronic total energy	-5.275	eV/atom
relative energy among the computed polymorphs	47.9	kJ/mol of atoms

Geometry as extended XYZ:
```
8
Lattice="-2.540 2.540 4.727 2.540 -2.540 4.727 2.540 2.540 -4.727" Properties=species:S:1:pos:R:3 pbc="T T T"
Cr 0.000 0.000 0.000
Cr 0.000 2.540 2.364
H 2.540 0.000 2.364
H 0.000 0.000 4.727
S 1.270 -1.109 3.546
S 1.431 1.270 1.182
S 1.270 3.649 -1.182
S 1.109 1.270 5.909
```

4.
Compound: La2Dy6Ho5
Source: Alexandria via LeMat-Bulk
Functional: PBE
Structure: optimized geometry

symmetry	No. 55
electronic total energy	-4.541	eV/atom
energy relative to the elements	0.102	eV per atom

Geometry as extended XYZ:
```
26
Lattice="11.731 0.000 0.000 0.000 20.237 0.000 0.000 0.000 3.592" Properties=species:S:1:pos:R:3 pbc="T T T"
La 1.958 4.446 0.000
La 3.908 14.564 0.000
La 7.823 5.673 0.000
La 9.773 15.791 0.000
Dy 0.700 18.702 0.000
Dy 0.910 12.886 0.000
Dy 2.111 7.640 1.796
Dy 3.755 17.759 1.796
Dy 4.955 2.767 0.000
Dy 5.166 8.583 0.000
Dy 6.565 11.654 0.000
Dy 6.776 17.470 0.000
Dy 7.976 2.478 1.796
Dy 9.620 12.597 1.796
Dy 10.821 7.351 0.000
Dy 11.031 1.535 0.000
Ho 0.000 10.118 1.796
Ho 1.116 15.803 1.796
Ho 2.347 1.066 1.796
Ho 3.519 11.184 1.796
Ho 4.750 5.684 1.796
Ho 5.866 0.000 1.796
Ho 6.982 14.553 1.796
Ho 8.212 9.053 1.796
Ho 9.384 19.171 1.796
Ho 10.615 4.434 1.796
```

5.
Compound: La6As3ICl2
Source: Alexandria via LeMat-Bulk
Functional: PBE
Structure: optimized geometry

symmetry	No. 12
E_form (uncorrected)	-1.555	eV per atom
electronic total energy	-5.618	eV/atom

Geometry as extended XYZ:
```
12
Lattice="9.573 -2.181 0.000 9.573 2.181 0.000 -2.134 0.000 8.571" Properties=species:S:1:pos:R:3 pbc="T T T"
La -0.405 0.000 1.935
La 5.283 0.000 3.683
La 4.581 0.000 7.726
La 12.432 0.000 0.845
La 11.729 0.000 4.888
La 17.417 0.000 6.636
As 2.441 0.000 2.842
As 9.573 0.000 0.000
As 14.571 0.000 5.729
I 8.506 0.000 4.286
Cl 1.477 0.000 7.199
Cl 15.535 0.000 1.372
```

6.
Compound: AlGaH3
Source: Alexandria via LeMat-Bulk
Functional: PBE
Structure: optimized geometry

symmetry	No. 221
electronic total energy	-2.883	eV/atom
relative energy among the computed polymorphs	19.9	kJ/mol of atoms

Geometry as extended XYZ:
```
5
Lattice="3.755 0.000 0.000 0.000 3.755 0.000 0.000 0.000 3.755" Properties=species:S:1:pos:R:3 pbc="T T T"
Al 0.000 0.000 0.000
Ga 1.877 1.877 1.877
H 0.000 1.877 1.877
H 1.877 0.000 1.877
H 1.877 1.877 0.000
```

7.
Compound: BeRePb2
Source: Alexandria via LeMat-Bulk
Functional: PBE
Structure: optimized geometry

symmetry	No. 122
electronic total energy	-4.560	eV/atom
energy relative to the elements	1.337	eV per atom

Geometry as extended XYZ:
```
8
Lattice="-3.800 3.800 2.931 3.800 -3.800 2.931 3.800 3.800 -2.931" Properties=species:S:1:pos:R:3 pbc="T T T"
Be 0.000 0.000 0.000
Be 0.000 3.800 1.465
Re 3.800 0.000 1.465
Re 0.000 0.000 2.931
Pb 5.701 1.682 -0.733
Pb 1.682 1.900 0.733
Pb -1.900 2.119 2.198
Pb 2.119 1.900 3.664
```

8.
Compound: SmMgIr
Source: Alexandria via LeMat-Bulk
Functional: PBE
Structure: optimized geometry

symmetry	No. 11
electronic total energy	-5.690	eV/atom
energy relative to the elements	-0.632	eV per atom

Geometry as extended XYZ:
```
18
Lattice="7.330 0.000 0.000 0.000 4.144 0.000 -0.004 0.000 12.738" Properties=species:S:1:pos:R:3 pbc="T T T"
Sm 0.298 1.036 1.530
Sm 1.119 1.036 5.303
Sm 3.339 3.108 9.999
Sm 3.987 1.036 2.740
Sm 6.207 3.108 7.435
Sm 7.028 3.108 11.208
Mg 0.949 1.036 8.944
Mg 2.679 3.108 0.508
Mg 3.651 1.036 7.454
Mg 3.675 3.108 5.284
Mg 4.647 1.036 12.231
Mg 6.377 3.108 3.795
Ir 1.816 3.108 3.189
Ir 1.851 1.036 11.644
Ir 1.851 3.108 7.379
Ir 5.475 1.036 5.359
Ir 5.474 3.108 1.094
Ir 5.510 1.036 9.549
```

9.
Compound: Sc8Zn2Ni
Source: Alexandria via LeMat-Bulk
Functional: PBE
Structure: optimized geometry

symmetry	No. 12
electronic total energy	-5.558	eV/atom
energy relative to the elements	-0.196	eV per atom
relative energy among the computed polymorphs	0.0	kJ/mol of atoms

Geometry as extended XYZ:
```
11
Lattice="8.050 -2.400 0.000 8.050 2.400 0.000 -2.105 0.000 5.958" Properties=species:S:1:pos:R:3 pbc="T T T"
Sc -0.228 0.000 1.692
Sc 1.513 0.000 4.762
Sc 4.362 0.000 3.208
Sc 6.444 0.000 0.372
Sc 7.552 0.000 5.586
Sc 9.634 0.000 2.750
Sc 12.482 0.000 1.196
Sc 14.224 0.000 4.266
Zn 2.483 0.000 1.241
Zn 11.513 0.000 4.716
Ni 6.998 0.000 2.979
```

10.
Compound: Be2Ir2Rh
Source: Alexandria via LeMat-Bulk
Functional: PBE
Structure: optimized geometry

symmetry	No. 127
electronic total energy	-6.609	eV/atom
energy relative to the elements	-0.104	eV per atom
relative energy among the computed polymorphs	23.0	kJ/mol of atoms

Geometry as extended XYZ:
```
10
Lattice="6.769 0.000 0.000 0.000 6.769 0.000 0.000 0.000 2.725" Properties=species:S:1:pos:R:3 pbc="T T T"
Be 1.098 2.286 0.000
Be 2.286 5.671 0.000
Be 4.482 1.098 0.000
Be 5.671 4.482 0.000
Ir 0.924 4.308 1.362
Ir 2.460 0.924 1.362
Ir 4.308 5.844 1.362
Ir 5.844 2.460 1.362
Rh 0.000 0.000 1.362
Rh 3.384 3.384 1.362
```

11.
Compound: Li3Tm2PuTe6
Source: Alexandria via LeMat-Bulk
Functional: PBE
Structure: optimized geometry

symmetry	No. 12
E_form (uncorrected)	-1.171	eV per atom
electronic total energy	-5.160	eV/atom

Geometry as extended XYZ:
```
12
Lattice="3.761 -6.513 0.000 3.761 6.513 0.000 -2.506 0.000 7.025" Properties=species:S:1:pos:R:3 pbc="T T T"
Li 0.000 0.000 0.000
Li 3.761 2.163 0.000
Li 3.761 -2.163 0.000
Tm 2.508 4.343 3.512
Tm 2.508 -4.343 3.512
Pu 2.508 0.000 3.512
Te 1.227 2.218 1.725
Te -0.053 0.000 5.303
Te 1.227 -2.218 1.725
Te 3.789 2.218 5.300
Te 5.070 0.000 1.722
Te 3.789 -2.218 5.300
```

12.
Compound: ZnAg3Au
Source: Alexandria via LeMat-Bulk
Functional: PBE
Structure: optimized geometry

symmetry	No. 221
electronic total energy	-2.050	eV/atom
energy relative to the elements	0.571	eV per atom
relative energy among the computed polymorphs	60.4	kJ/mol of atoms

Geometry as extended XYZ:
```
5
Lattice="4.778 0.000 0.000 0.000 4.778 0.000 0.000 0.000 4.778" Properties=species:S:1:pos:R:3 pbc="T T T"
Zn 0.000 0.000 0.000
Ag 0.000 0.000 2.389
Ag 0.000 2.389 0.000
Ag 2.389 0.000 0.000
Au 2.389 2.389 2.389
```

| no. | mass density (Mg/m³) |
| --- | --- |
| 1 | 4.5 |
| 2 | 3.5 |
| 3 | 3.2 |
| 4 | 8.1 |
| 5 | 5.8 |
| 6 | 3.1 |
| 7 | 12.0 |
| 8 | 9.4 |
| 9 | 4.0 |
| 10 | 13.4 |
| 11 | 6.6 |
| 12 | 8.9 |